1.
ZnAu2: relaxed, PBE-GGA.

Calculated total energy = -2.4750 eV per atom
Crystal system = cubic
ρ = 12.8 g/cm³
Formation energy = 0.1345 eV per atom

Cell lengths 6.200, 6.200, 6.200 Å; angles 90.00, 90.00, 90.00 degrees
Space group Pa-3 (No. 205)
One atom of each set of equivalent atoms:
Zn  0.000  0.000  0.000 [4 per cell]
Au  0.130  0.630  0.870 [8 per cell]

---

2.
Zn5Au4: relaxed, PBE-GGA.

Calculated total energy = -2.3350 eV per atom
Crystal system = hexagonal
ρ = 12.5 g/cm³
Distance to the lowest polymorph of the same formula = 8 meV per atom
Formation energy = -0.1706 eV per atom

Cell lengths 7.9205, 7.9205, 5.4349 Å; angles 90.00, 90.00, 120.00 degrees
Space group P6_3/mcm (No. 193)
One atom of each set of equivalent atoms:
Zn  0.0000  0.2967  0.2500 [6 per cell]
Zn  0.3333  0.6667  0.0000 [4 per cell]
Au  0.0000  0.0000  0.0000 [2 per cell]
Au  0.0000  0.3767  0.7500 [6 per cell]

---

3.
ZnAu: relaxed, PBE-GGA.

Calculated total energy = -2.1016 eV per atom
Crystal system = cubic
ρ = 8.6 g/cm³
Formation energy = 0.1741 eV per atom

Cell lengths 5.874, 5.874, 5.874 Å; angles 90.00, 90.00, 90.00 degrees
Space group F-43m (No. 216)
One atom of each set of equivalent atoms:
Zn  0.000  0.000  0.000 [4 per cell]
Au  0.250  0.250  0.750 [4 per cell]